No. 1
The following is a PBE calculation of a relaxed structure of TaMnAu2, from Alexandria.

The magnetic moment comes out at 4.26 μB per cell. The value obtained for the volume is 17.55 Å³/atom. As for the crystal system: tetragonal. For the density of states at the Fermi level, the calculation gives 0.76 states/eV/atom. The formation energy is 116 meV/atom.

Cell lengths 4.949, 4.949, 2.867 Å; angles 90.00, 90.00, 90.00 degrees
Each line ends with the local moment (μB).
Element x y z (fractional)
Au  0.000  0.000  0.000  0.02
Au  0.500  0.500  0.000  0.02
Mn  0.500  0.000  0.500  3.90
Ta  0.000  0.500  0.500  0.09

No. 2
The following is a PBE calculation of a relaxed structure of MnCr2Ag, from Alexandria.

The magnetic moment comes out at 4.08 μB per cell. The value obtained for the volume is 14.96 Å³/atom. As for the crystal system: tetragonal. For the density of states at the Fermi level, the calculation gives 0.53 states/eV/atom. The formation energy is 415 meV/atom. Its offset from the most stable computed form is 118.2 meV per atom.

Cell lengths 4.551, 4.551, 4.551 Å; angles 125.78, 125.78, 80.24 degrees
Each line ends with the local moment (μB).
Element x y z (fractional)
Ag  0.750  0.250  0.500  0.08
Cr  0.000  0.000  0.000  3.12
Cr  0.250  0.750  0.500  -2.77
Mn  0.500  0.500  0.000  3.46

No. 3
The following is a PBE calculation of a relaxed structure of Yb6Pm, from Alexandria.

The magnetic moment comes out at 0.00 μB per cell. The value obtained for the volume is 46.09 Å³/atom. As for the crystal system: cubic. For the density of states at the Fermi level, the calculation gives 1.79 states/eV/atom. The formation energy is 1109 meV/atom.

Cell lengths 7.484, 7.484, 7.484 Å; angles 109.47, 109.47, 109.47 degrees
Element x y z (fractional)
Yb  0.250  0.750  0.500
Yb  0.500  0.750  0.250
Yb  0.250  0.500  0.750
Yb  0.750  0.250  0.500
Yb  0.500  0.250  0.750
Yb  0.750  0.500  0.250
Pm  0.000  0.000  0.000

No. 4
The following is a PBE calculation of a relaxed structure of CuNiAg2, from Alexandria.

The magnetic moment comes out at 0.00 μB per cell. The value obtained for the volume is 14.67 Å³/atom. As for the crystal system: tetragonal. For the density of states at the Fermi level, the calculation gives 0.48 states/eV/atom. The formation energy is 205 meV/atom. Its offset from the most stable computed form is 74.8 meV per atom.

Cell lengths 4.760, 4.760, 4.760 Å; angles 131.81, 131.81, 70.52 degrees
Element x y z (fractional)
Ag  0.000  0.000  0.000
Ag  0.250  0.750  0.500
Cu  0.500  0.500  0.000
Ni  0.750  0.250  0.500

Copy entry 1 word for word.
The following is a PBE calculation of a relaxed structure of TaMnAu2, from Alexandria.

The magnetic moment comes out at 4.26 μB per cell. The value obtained for the volume is 17.55 Å³/atom. As for the crystal system: tetragonal. For the density of states at the Fermi level, the calculation gives 0.76 states/eV/atom. The formation energy is 116 meV/atom.

Cell lengths 4.949, 4.949, 2.867 Å; angles 90.00, 90.00, 90.00 degrees
Each line ends with the local moment (μB).
Element x y z (fractional)
Au  0.000  0.000  0.000  0.02
Au  0.500  0.500  0.000  0.02
Mn  0.500  0.000  0.500  3.90
Ta  0.000  0.500  0.500  0.09

Q: Look up the magnetic moment of the second one.
A: 4.08 μB per cell

Q: Which formula does entry 2 have?
A: MnCr2Ag